No. 1
! LiOsSeO | OQMD | PBE | optimized geometry; values from VASP
&SYSTEM
  ibrav = 0, nat = 16, ntyp = 4
/
ATOMIC_SPECIES
Se 78.96 Se.upf
O 16.00 O.upf
Li 6.94 Li.upf
Os 190.23 Os.upf
ATOMIC_POSITIONS crystal
Se 0.4102 0.8169 0.2903
Se 0.4868 0.6258 0.6570
Se 0.9868 0.3742 0.3430
Se 0.9102 0.1831 0.7097
O 0.9074 0.6071 0.0469
O 0.4074 0.3929 0.9531
O 0.4205 0.8823 0.9557
O 0.9205 0.1177 0.0443
Li 0.0786 0.7741 0.5415
Li 0.3394 0.0862 0.8159
Li 0.8394 0.9138 0.1841
Li 0.5786 0.2259 0.4585
Os 0.3054 0.1305 0.1473
Os 0.8054 0.8695 0.8527
Os 0.6518 0.4218 0.1454
Os 0.1518 0.5782 0.8546
CELL_PARAMETERS angstrom
-0.2633 -2.2566 4.3735
4.1940 -3.2116 -1.4046
4.0861 7.1791 3.9503
! Energy: -5.969 eV per atom
! Crystal system: monoclinic
! Energy above the most stable polymorph in this dataset: 0.0222 eV per atom
! Spin magnetization: 0.000 μB/atom

---

No. 2
! LiOsSeO | OQMD | PBE | optimized geometry; values from VASP
&SYSTEM
  ibrav = 0, nat = 16, ntyp = 4
/
ATOMIC_SPECIES
Os 190.23 Os.upf
Li 6.94 Li.upf
Se 78.96 Se.upf
O 16.00 O.upf
ATOMIC_POSITIONS crystal
Os 0.2936 0.3963 0.7369
Os 0.2936 0.1037 0.2369
Os 0.7064 0.8963 0.7631
Os 0.7064 0.6037 0.2631
Li 0.7459 0.2747 0.9469
Li 0.2541 0.7747 0.5531
Li 0.2541 0.7253 0.0531
Li 0.7459 0.2253 0.4469
Se 0.1105 0.0635 0.7995
Se 0.1105 0.4365 0.2995
Se 0.8895 0.9365 0.2005
Se 0.8895 0.5635 0.7005
O 0.5122 0.3329 0.1305
O 0.4878 0.6671 0.8695
O 0.5122 0.1671 0.6305
O 0.4878 0.8329 0.3695
CELL_PARAMETERS angstrom
-2.0289 4.1068 -3.5369
-5.8124 -0.4721 2.7861
2.0752 2.5894 4.7682
! Energy: -5.825 eV per atom
! Crystal system: monoclinic
! Energy above the most stable polymorph in this dataset: 0.1669 eV per atom
! Spin magnetization: 0.000 μB/atom

---

No. 3
! Li4SiOsO6 | OQMD | PBE | optimized geometry; values from VASP
&SYSTEM
  ibrav = 0, nat = 12, ntyp = 4
/
ATOMIC_SPECIES
Li 6.94 Li.upf
O 16.00 O.upf
Os 190.23 Os.upf
Si 28.09 Si.upf
ATOMIC_POSITIONS crystal
Li 0.0028 0.9972 0.5000
Li 0.6614 0.3386 0.5000
Li 0.4996 0.5004 0.0000
Li 0.3373 0.6627 0.5000
O 0.9467 0.6069 0.2179
O 0.2343 0.2031 0.2246
O 0.7969 0.7657 0.7754
O 0.0841 0.4562 0.7765
O 0.5438 0.9159 0.2235
O 0.3931 0.0533 0.7821
Os 0.8329 0.1671 0.0000
Si 0.1671 0.8329 0.0000
CELL_PARAMETERS angstrom
0.0144 4.0890 -2.8924
0.5790 0.4416 4.9554
4.4294 -1.9178 -1.2100
! Energy: -6.404 eV per atom
! Crystal system: monoclinic
! Spin magnetization: 0.167 μB/atom

---

No. 4
! Li4SnOsO6 | OQMD | PBE | optimized geometry; values from VASP
&SYSTEM
  ibrav = 0, nat = 12, ntyp = 4
/
ATOMIC_SPECIES
Os 190.23 Os.upf
Li 6.94 Li.upf
O 16.00 O.upf
Sn 118.71 Sn.upf
ATOMIC_POSITIONS crystal
Os 0.1671 0.8329 0.0000
Li 0.4995 0.5005 0.0000
Li 0.0140 0.9860 0.5000
Li 0.3366 0.6634 0.5000
Li 0.6539 0.3461 0.5000
O 0.0794 0.4327 0.7642
O 0.7714 0.7629 0.7610
O 0.9280 0.5876 0.2345
O 0.5673 0.9206 0.2358
O 0.4124 0.0720 0.7655
O 0.2371 0.2286 0.2390
Sn 0.8334 0.1666 0.0000
CELL_PARAMETERS angstrom
4.6683 1.4008 -2.0371
-0.2269 -3.6851 3.7780
-1.9121 -2.6505 -3.9278
! Energy: -6.014 eV per atom
! Crystal system: monoclinic
! Spin magnetization: 0.167 μB/atom

---

No. 5
! LiSn2OsO6 | OQMD | PBE | optimized geometry; values from VASP
&SYSTEM
  ibrav = 0, nat = 10, ntyp = 4
/
ATOMIC_SPECIES
Os 190.23 Os.upf
Sn 118.71 Sn.upf
O 16.00 O.upf
Li 6.94 Li.upf
ATOMIC_POSITIONS crystal
Os 0.0000 0.0000 0.0000
Sn 0.2500 0.7500 0.5000
Sn 0.7500 0.2500 0.5000
O 0.1611 0.3132 0.4743
O 0.7586 0.7586 0.0000
O 0.2414 0.2414 0.0000
O 0.8389 0.6868 0.5257
O 0.3132 0.8389 0.1521
O 0.6868 0.1611 0.8479
Li 0.5000 0.5000 0.0000
CELL_PARAMETERS angstrom
1.8299 1.1317 5.1125
-5.1259 0.9024 1.9177
1.3436 -4.7192 -2.5867
! Energy: -6.277 eV per atom
! Crystal system: tetragonal
! Spin magnetization: 0.002 μB/atom

---

No. 6
! Li4TeOsO6 | OQMD | PBE | optimized geometry; values from VASP
&SYSTEM
  ibrav = 0, nat = 12, ntyp = 4
/
ATOMIC_SPECIES
O 16.00 O.upf
Li 6.94 Li.upf
Os 190.23 Os.upf
Te 127.60 Te.upf
ATOMIC_POSITIONS crystal
O 0.2339 0.2339 0.2385
O 0.7661 0.7661 0.7615
O 0.4217 0.0776 0.7655
O 0.5755 0.9220 0.2340
O 0.9224 0.5783 0.2345
O 0.0780 0.4245 0.7660
Li 0.4989 0.5011 0.0000
Li 0.6548 0.3452 0.5000
Li 0.3330 0.6671 0.5000
Li 0.0156 0.9844 0.5000
Os 0.1667 0.8333 0.0000
Te 0.8334 0.1666 0.0000
CELL_PARAMETERS angstrom
3.9925 2.9870 -1.9430
0.3147 -5.3391 -0.1809
-3.5103 0.7979 -3.5567
! Energy: -5.723 eV per atom
! Crystal system: monoclinic
! Spin magnetization: 0.000 μB/atom

---

Repeat the fourth record exactly.
! Li4SnOsO6 | OQMD | PBE | optimized geometry; values from VASP
&SYSTEM
  ibrav = 0, nat = 12, ntyp = 4
/
ATOMIC_SPECIES
Os 190.23 Os.upf
Li 6.94 Li.upf
O 16.00 O.upf
Sn 118.71 Sn.upf
ATOMIC_POSITIONS crystal
Os 0.1671 0.8329 0.0000
Li 0.4995 0.5005 0.0000
Li 0.0140 0.9860 0.5000
Li 0.3366 0.6634 0.5000
Li 0.6539 0.3461 0.5000
O 0.0794 0.4327 0.7642
O 0.7714 0.7629 0.7610
O 0.9280 0.5876 0.2345
O 0.5673 0.9206 0.2358
O 0.4124 0.0720 0.7655
O 0.2371 0.2286 0.2390
Sn 0.8334 0.1666 0.0000
CELL_PARAMETERS angstrom
4.6683 1.4008 -2.0371
-0.2269 -3.6851 3.7780
-1.9121 -2.6505 -3.9278
! Energy: -6.014 eV per atom
! Crystal system: monoclinic
! Spin magnetization: 0.167 μB/atom